[1]
Below is crystalline ScTaTc at its relaxed geometry, with properties calculated at the GGA-PBE level. Values from VASP.

magnetization = 0.00 μB per formula unit
space group = P3m1
E_form = -0.1243 eV/atom
energy relative to the lowest polymorph listed for this composition = 0.083 eV/atom

```
&SYSTEM
  ibrav = 0, nat = 3, ntyp = 3
/
ATOMIC_SPECIES
Sc 44.96 Sc.upf
Ta 180.95 Ta.upf
Tc 98.00 Tc.upf
CELL_PARAMETERS angstrom
-3.658 -1.566 -2.123
0.392 -0.478 4.467
-1.368 2.648 0.404
ATOMIC_POSITIONS angstrom
Sc -1.327 2.569 0.391
Ta -2.834 -0.184 0.229
Tc -1.840 0.868 2.531
```

=====

[2]
Below is crystalline LiTcPt2 at its relaxed geometry, with properties calculated at the GGA-PBE level. Values from VASP.

magnetization = 1.55 μB per formula unit
space group = I4/mmm
E_form = -0.1886 eV/atom
energy relative to the lowest polymorph listed for this composition = 0.151 eV/atom

```
&SYSTEM
  ibrav = 0, nat = 4, ntyp = 3
/
ATOMIC_SPECIES
Li 6.94 Li.upf
Pt 195.08 Pt.upf
Tc 98.00 Tc.upf
CELL_PARAMETERS angstrom
-1.366 4.469 0.310
-2.273 1.069 -3.952
-0.559 -3.576 2.972
ATOMIC_POSITIONS angstrom
Li -2.326 0.131 -1.401
Pt -3.639 5.538 -3.642
Pt -1.820 2.769 -1.821
Tc -1.872 1.831 0.730
```

=====

[3]
Below is crystalline Na3Pr3TaSe8 at its relaxed geometry, with properties calculated at the GGA-PBE level. Values from VASP.

E_form (uncorrected) = -1426 meV per atom
magnetization = 0.85 μB per formula unit
space group = R-3m

```
&SYSTEM
  ibrav = 0, nat = 15, ntyp = 4
/
ATOMIC_SPECIES
Na 22.99 Na.upf
Pr 140.91 Pr.upf
Ta 180.95 Ta.upf
Se 78.96 Se.upf
CELL_PARAMETERS angstrom
8.367 0.000 0.000
-4.184 7.246 -0.027
0.000 -4.807 7.150
ATOMIC_POSITIONS angstrom
Na 0.000 0.000 0.000
Na -2.092 3.623 -0.013
Na 2.092 3.623 -0.013
Pr 4.184 -2.403 3.575
Pr 2.092 1.220 3.562
Pr -2.092 1.220 3.562
Ta 0.000 -2.403 3.575
Se 0.000 2.421 1.824
Se 4.184 0.018 5.299
Se 4.184 2.674 1.993
Se 0.000 -0.235 5.131
Se 6.495 -1.328 2.008
Se -2.311 3.767 5.116
Se 1.873 -1.328 2.008
Se 2.311 3.767 5.116
```

=====

[4]
Below is crystalline LaZrW2 at its relaxed geometry, with properties calculated at the GGA-PBE level. Values from VASP.

magnetization = 0.00 μB per formula unit
space group = Pmmm
E_form = 0.6310 eV/atom
energy relative to the lowest polymorph listed for this composition = 0.382 eV/atom

```
&SYSTEM
  ibrav = 0, nat = 4, ntyp = 3
/
ATOMIC_SPECIES
La 138.91 La.upf
W 183.84 W.upf
Zr 91.22 Zr.upf
CELL_PARAMETERS angstrom
-0.497 1.529 -2.373
-3.374 -3.208 -1.361
-4.436 3.355 3.090
ATOMIC_POSITIONS angstrom
La -5.262 1.677 0.451
W -0.242 0.183 0.169
W -1.976 1.494 1.376
Zr -3.044 -0.001 -1.094
```

=====

[5]
Below is crystalline TaCSe2Br at its relaxed geometry, with properties calculated at the GGA-PBE level. Values from VASP.

E_form (uncorrected) = 1320 meV per atom
magnetization = 1.75 μB per formula unit
space group = P4/mmm
energy relative to the lowest polymorph listed for this composition = 0.142 eV/atom

```
&SYSTEM
  ibrav = 0, nat = 5, ntyp = 4
/
ATOMIC_SPECIES
C 12.01 C.upf
Se 78.96 Se.upf
Br 79.90 Br.upf
Ta 180.95 Ta.upf
CELL_PARAMETERS angstrom
4.400 0.000 0.000
0.000 4.400 0.000
0.000 0.000 4.452
ATOMIC_POSITIONS angstrom
C 0.000 0.000 0.000
Se 0.000 2.200 0.000
Se 2.200 0.000 0.000
Br 0.000 0.000 2.226
Ta 2.200 2.200 2.226
```

=====

[6]
Below is crystalline BaScTl at its relaxed geometry, with properties calculated at the GGA-PBE level. Values from VASP.

magnetization = 0.00 μB per formula unit
space group = P4/nmm
E_form = -0.2769 eV/atom
energy relative to the lowest polymorph listed for this composition = 0.000 eV/atom

```
&SYSTEM
  ibrav = 0, nat = 6, ntyp = 3
/
ATOMIC_SPECIES
Sc 44.96 Sc.upf
Tl 204.38 Tl.upf
Ba 137.33 Ba.upf
CELL_PARAMETERS angstrom
9.272 -1.955 0.037
-1.832 4.797 -0.024
-0.016 0.019 5.132
ATOMIC_POSITIONS angstrom
Sc 2.863 1.488 3.419
Sc 1.956 3.873 0.841
Tl 4.320 2.028 0.855
Tl 0.499 3.333 3.404
Ba 0.233 0.469 0.848
Ba 6.419 0.096 3.435
```

=====

[7]
Below is crystalline CuNiOs at its relaxed geometry, with properties calculated at the GGA-PBE level. Values from VASP.

magnetization = 1.11 μB per formula unit
space group = F-43m
E_form = 0.7399 eV/atom
energy relative to the lowest polymorph listed for this composition = 0.594 eV/atom

```
&SYSTEM
  ibrav = 0, nat = 3, ntyp = 3
/
ATOMIC_SPECIES
Cu 63.55 Cu.upf
Ni 58.69 Ni.upf
Os 190.23 Os.upf
CELL_PARAMETERS angstrom
-1.443 -2.622 2.526
-1.802 -3.213 -1.329
1.711 -3.502 0.377
ATOMIC_POSITIONS angstrom
Cu -0.767 -4.668 0.787
Ni -1.151 -7.002 1.181
Os 0.000 0.000 0.000
```

=====

[8]
Below is crystalline CdIn2Ir at its relaxed geometry, with properties calculated at the GGA-PBE level. Values from VASP.

magnetization = 0.00 μB per formula unit
space group = I4/mmm
E_form = 0.0982 eV/atom

```
&SYSTEM
  ibrav = 0, nat = 4, ntyp = 3
/
ATOMIC_SPECIES
Cd 112.41 Cd.upf
Ir 192.22 Ir.upf
In 114.82 In.upf
CELL_PARAMETERS angstrom
5.133 -0.001 -0.021
1.450 4.925 0.021
-3.278 -2.480 3.075
ATOMIC_POSITIONS angstrom
Cd 0.732 2.453 1.548
Ir 2.573 -0.010 1.527
In 0.001 0.000 0.000
In 3.291 2.461 0.000
```

=====

[9]
Below is crystalline ScNbIr at its relaxed geometry, with properties calculated at the GGA-PBE level. Values from VASP.

magnetization = 0.00 μB per formula unit
space group = I4/mmm
E_form = -0.4357 eV/atom

```
&SYSTEM
  ibrav = 0, nat = 6, ntyp = 3
/
ATOMIC_SPECIES
Nb 92.91 Nb.upf
Ir 192.22 Ir.upf
Sc 44.96 Sc.upf
CELL_PARAMETERS angstrom
-1.029 -0.509 -2.788
2.828 -0.374 -0.976
-1.649 -11.778 4.389
ATOMIC_POSITIONS angstrom
Nb -0.439 -7.155 1.468
Nb 0.589 -5.506 -0.843
Ir -0.204 -3.322 0.681
Ir 0.354 -9.339 -0.056
Sc 0.802 -2.037 -1.554
Sc -0.652 -10.624 2.180
```

=====

[10]
Below is crystalline Cs3In2AgI9 at its relaxed geometry, with properties calculated at the GGA-PBE level. Values from VASP.

E_form (uncorrected) = -887 meV per atom
magnetization = 0.00 μB per formula unit
space group = P-3m1

```
&SYSTEM
  ibrav = 0, nat = 15, ntyp = 4
/
ATOMIC_SPECIES
Cs 132.91 Cs.upf
In 114.82 In.upf
Ag 107.87 Ag.upf
I 126.90 I.upf
CELL_PARAMETERS angstrom
-1.539 -4.389 7.163
4.726 -3.477 -6.206
8.664 4.037 4.335
ATOMIC_POSITIONS angstrom
Cs 8.384 -1.104 1.125
Cs 0.000 0.000 0.000
Cs 3.467 -2.725 4.167
In 4.174 -3.065 -0.981
In 7.677 -0.764 6.273
Ag 4.332 2.018 2.168
I 5.284 -1.540 7.857
I 7.673 -3.298 4.720
I 6.062 0.678 4.236
I 5.788 -4.507 1.056
I 4.178 -0.531 0.572
I 6.566 -2.289 -2.564
I -0.770 -2.194 3.582
I 2.363 -1.739 -3.103
I 1.593 -3.933 0.478
```

=====

[11]
Below is crystalline NaSrZn2F at its relaxed geometry, with properties calculated at the GGA-PBE level. Values from VASP.

E_form (uncorrected) = -135 meV per atom
magnetization = 0.00 μB per formula unit
space group = P4/mmm

```
&SYSTEM
  ibrav = 0, nat = 5, ntyp = 4
/
ATOMIC_SPECIES
Sr 87.62 Sr.upf
Zn 65.41 Zn.upf
F 19.00 F.upf
Na 22.99 Na.upf
CELL_PARAMETERS angstrom
-1.699 4.219 1.990
-0.464 -3.128 6.235
4.653 1.383 1.040
ATOMIC_POSITIONS angstrom
Sr -0.232 -1.564 3.117
Zn 2.327 0.692 0.520
Zn -0.849 2.109 0.995
F 1.245 1.237 4.632
Na 0.000 0.000 0.000
```

=====

[12]
Below is crystalline Li3ErCd3 at its relaxed geometry, with properties calculated at the GGA-PBE level. Values from VASP.

magnetization = 0.00 μB per formula unit
space group = Pm-3n
E_form = 0.2545 eV/atom

```
&SYSTEM
  ibrav = 0, nat = 14, ntyp = 3
/
ATOMIC_SPECIES
Cd 112.41 Cd.upf
Li 6.94 Li.upf
Er 167.26 Er.upf
CELL_PARAMETERS angstrom
-4.002 4.353 -3.666
-5.583 -2.135 3.560
1.102 4.990 4.721
ATOMIC_POSITIONS angstrom
Cd -0.845 1.961 3.251
Cd -3.636 0.893 5.031
Cd -1.174 5.919 1.708
Cd -5.793 2.197 -0.969
Cd -1.726 3.424 -0.653
Cd -3.792 0.021 0.864
Li -0.449 3.583 1.444
Li -2.516 0.180 2.960
Li -6.188 0.575 0.837
Li -2.450 5.760 -0.389
Li -1.965 2.675 5.321
Li -3.397 1.643 -0.943
Er -4.241 3.604 2.308
Er 0.000 0.000 0.000
```

=====

[13]
Below is crystalline Sb2PtBr at its relaxed geometry, with properties calculated at the GGA-PBE level. Values from VASP.

E_form (uncorrected) = -49 meV per atom
magnetization = 0.00 μB per formula unit
space group = I-42d
energy relative to the lowest polymorph listed for this composition = 0.365 eV/atom

```
&SYSTEM
  ibrav = 0, nat = 8, ntyp = 3
/
ATOMIC_SPECIES
Sb 121.76 Sb.upf
Br 79.90 Br.upf
Pt 195.08 Pt.upf
CELL_PARAMETERS angstrom
-2.393 0.235 6.331
3.855 -5.317 1.655
5.120 1.115 5.516
ATOMIC_POSITIONS angstrom
Sb 0.096 -0.222 5.993
Sb 3.560 -3.032 2.755
Sb 4.114 -0.692 7.014
Sb 5.393 -3.988 11.242
Br 0.731 -2.541 3.993
Br 4.853 -3.371 5.582
Pt 0.000 0.000 0.000
Pt 1.729 -0.595 7.920
```